# 1
A relaxed structure of MgSnHSe. Source: Alexandria, functional PBE-GGA.

abc: 4.470 3.749 5.944
angles: 90.00 108.11 90.00
Fractional coordinates of all 4 atoms:
Mg1 0.000 0.000 0.000
Sn1 0.436 0.500 0.843
H1 0.785 0.500 0.426
Se1 0.087 0.500 0.364

DOS(E_F): 1.37 states/eV/cell
Magnetization: 0.00 μB/f.u.
Energy relative to the lowest polymorph listed for this composition: 225 meV/atom
Uncorrected energy: -3.1984 eV per atom

***

# 2
A relaxed structure of Mg2Sc3Bi3. Source: Alexandria, functional PBE-GGA.

abc: 8.722 8.722 6.114
angles: 90.00 90.00 120.00
Fractional coordinates of all 16 atoms:
Mg1 0.333 0.667 0.000
Mg2 0.333 0.667 0.500
Mg3 0.667 0.333 0.000
Mg4 0.667 0.333 0.500
Sc1 0.000 0.238 0.250
Sc2 0.000 0.762 0.750
Sc3 0.238 0.000 0.250
Sc4 0.238 0.238 0.750
Sc5 0.762 0.000 0.750
Sc6 0.762 0.762 0.250
Bi1 0.000 0.391 0.750
Bi2 0.000 0.609 0.250
Bi3 0.391 0.000 0.750
Bi4 0.391 0.391 0.250
Bi5 0.609 0.000 0.250
Bi6 0.609 0.609 0.750

Energy of formation: -347 meV/atom
DOS(E_F): 13.29 states/eV/cell
Magnetization: 0.00 μB/f.u.
Uncorrected energy: -4.5756 eV per atom

***

# 3
A relaxed structure of GeIrPtSe2. Source: Alexandria, functional PBE-GGA.

abc: 4.905 4.905 4.678
angles: 90.00 90.00 90.00
Fractional coordinates of all 5 atoms:
Ge1 0.000 0.000 0.000
Ir1 0.000 0.000 0.500
Pt1 0.500 0.500 0.000
Se1 0.000 0.500 0.500
Se2 0.500 0.000 0.500

Formation energy from raw total energies: 3.88 eV/f.u.
DOS(E_F): 5.34 states/eV/cell
Magnetization: 0.00 μB/f.u.
Uncorrected energy: -4.5224 eV per atom

***

# 4
A relaxed structure of Pr4CuHg3. Source: Alexandria, functional PBE-GGA.

abc: 3.792 3.792 15.406
angles: 90.00 90.00 90.00
Fractional coordinates of all 8 atoms:
Pr1 0.000 0.000 0.111
Pr2 0.000 0.000 0.371
Pr3 0.000 0.000 0.629
Pr4 0.000 0.000 0.889
Cu1 0.500 0.500 0.000
Hg1 0.500 0.500 0.242
Hg2 0.500 0.500 0.500
Hg3 0.500 0.500 0.758

Energy of formation: -374 meV/atom
DOS(E_F): 8.92 states/eV/cell
Magnetization: 0.76 μB/f.u.
Uncorrected energy: -3.3889 eV per atom

***

# 5
A relaxed structure of ZrTePdN2. Source: Alexandria, functional PBE-GGA.

abc: 4.104 4.104 6.180
angles: 90.00 90.00 90.00
Fractional coordinates of all 5 atoms:
Zr1 0.000 0.000 0.000
Te1 0.000 0.000 0.500
Pd1 0.500 0.500 0.500
N1 0.000 0.500 0.000
N2 0.500 0.000 0.000

Formation energy from raw total energies: 2.61 eV/f.u.
DOS(E_F): 5.56 states/eV/cell
Magnetization: 1.13 μB/f.u.
Energy relative to the lowest polymorph listed for this composition: 0 meV/atom
Uncorrected energy: -6.1852 eV per atom

***

# 6
A relaxed structure of PmZn3Cu. Source: Alexandria, functional PBE-GGA.

abc: 4.612 4.612 4.612
angles: 90.00 90.00 90.00
Fractional coordinates of all 5 atoms:
Pm1 0.000 0.000 0.000
Zn1 0.000 0.500 0.500
Zn2 0.500 0.000 0.500
Zn3 0.500 0.500 0.000
Cu1 0.500 0.500 0.500

Energy of formation: -116 meV/atom
DOS(E_F): 2.44 states/eV/cell
Magnetization: 0.00 μB/f.u.
Energy relative to the lowest polymorph listed for this composition: 158 meV/atom
Uncorrected energy: -2.6493 eV per atom